(1)
# PBE BaMnMo2S8, relaxed
data_BaMnMo2S8
_chemical_formula_sum 'Ba3 Mn3 Mo6 S24'
_symmetry_space_group_name_H-M 'R -3'
_symmetry_Int_Tables_number 148
_symmetry_space_group_name_Hall '-R 3'
_cell_length_a 6.1605
_cell_length_b 6.1605
_cell_length_c 26.6046
_cell_angle_alpha 90.00
_cell_angle_beta 90.00
_cell_angle_gamma 120.00
loop_
_atom_site_label
_atom_site_type_symbol
_atom_site_fract_x
_atom_site_fract_y
_atom_site_fract_z
Ba1 Ba 0.0000 0.0000 0.0000
Mn1 Mn 0.0000 0.0000 0.5000
Mo1 Mo 0.0000 0.0000 0.2487
S1 S 0.0000 0.0000 0.3312
S2 S 0.0015 0.6594 0.7768
# Volume: 874 Å³/cell
# Final energy: -6.178 eV/atom
# Mass density: 3.65 g/cm³
# Magnetic moment: 0.417 μB/atom
# Formation energy from raw total energies: -697 meV/atom

(2)
# PBE BaMn2MoS, relaxed
data_BaMn2MoS
_chemical_formula_sum 'Ba1 Mn2 Mo1 S1'
_symmetry_space_group_name_H-M 'P 4/m m m'
_symmetry_Int_Tables_number 123
_symmetry_space_group_name_Hall '-P 4 2'
_cell_length_a 4.837
_cell_length_b 4.837
_cell_length_c 4.930
_cell_angle_alpha 90.00
_cell_angle_beta 90.00
_cell_angle_gamma 90.00
loop_
_atom_site_label
_atom_site_type_symbol
_atom_site_fract_x
_atom_site_fract_y
_atom_site_fract_z
Ba1 Ba 0.000 0.000 0.000
Mn1 Mn 0.000 0.500 0.500
Mo1 Mo 0.500 0.500 0.500
S1 S 0.500 0.500 0.000
# Volume: 115 Å³/cell
# Final energy: -6.760 eV/atom
# Mass density: 5.40 g/cm³
# Magnetic moment: 1.331 μB/atom
# Formation energy from raw total energies: 284 meV/atom
# N(E_F): 0.876 states/eV/atom

(3)
# PBE BaMnMo2S, relaxed
data_BaMnMo2S
_chemical_formula_sum 'Ba1 Mn1 Mo2 S1'
_symmetry_space_group_name_H-M 'P 4/m m m'
_symmetry_Int_Tables_number 123
_symmetry_space_group_name_Hall '-P 4 2'
_cell_length_a 4.572
_cell_length_b 4.572
_cell_length_c 5.622
_cell_angle_alpha 90.00
_cell_angle_beta 90.00
_cell_angle_gamma 90.00
loop_
_atom_site_label
_atom_site_type_symbol
_atom_site_fract_x
_atom_site_fract_y
_atom_site_fract_z
Ba1 Ba 0.000 0.000 0.000
Mn1 Mn 0.500 0.500 0.500
Mo1 Mo 0.000 0.500 0.500
S1 S 0.500 0.500 0.000
# Volume: 118 Å³/cell
# Final energy: -6.555 eV/atom
# Mass density: 5.88 g/cm³
# Magnetic moment: 0.591 μB/atom
# Formation energy from raw total energies: 822 meV/atom
# N(E_F): 0.759 states/eV/atom

(4)
# PBE BaMnSbMo2, relaxed
data_BaMnSbMo2
_chemical_formula_sum 'Ba1 Mn1 Sb1 Mo2'
_symmetry_space_group_name_H-M 'P 4/m m m'
_symmetry_Int_Tables_number 123
_symmetry_space_group_name_Hall '-P 4 2'
_cell_length_a 4.624
_cell_length_b 4.624
_cell_length_c 5.524
_cell_angle_alpha 90.00
_cell_angle_beta 90.00
_cell_angle_gamma 90.00
loop_
_atom_site_label
_atom_site_type_symbol
_atom_site_fract_x
_atom_site_fract_y
_atom_site_fract_z
Ba1 Ba 0.000 0.000 0.000
Mn1 Mn 0.000 0.000 0.500
Sb1 Sb 0.500 0.500 0.000
Mo1 Mo 0.000 0.500 0.500
# Volume: 118 Å³/cell
# Final energy: -6.306 eV/atom
# Mass density: 7.11 g/cm³
# Magnetic moment: 0.000 μB/atom
# Formation energy from raw total energies: 1069 meV/atom
# N(E_F): 1.021 states/eV/atom

(5)
# PBE BaScMn2Mo, relaxed
data_BaScMn2Mo
_chemical_formula_sum 'Ba1 Sc1 Mn2 Mo1'
_symmetry_space_group_name_H-M 'P 4/m m m'
_symmetry_Int_Tables_number 123
_symmetry_space_group_name_Hall '-P 4 2'
_cell_length_a 5.219
_cell_length_b 5.219
_cell_length_c 4.812
_cell_angle_alpha 90.00
_cell_angle_beta 90.00
_cell_angle_gamma 90.00
loop_
_atom_site_label
_atom_site_type_symbol
_atom_site_fract_x
_atom_site_fract_y
_atom_site_fract_z
Ba1 Ba 0.000 0.000 0.000
Sc1 Sc 0.500 0.500 0.500
Mn1 Mn 0.000 0.500 0.500
Mo1 Mo 0.500 0.500 0.000
# Energy of formation from the pure elements: 1.21 eV per atom
# Volume: 131 Å³/cell
# Final energy: -6.275 eV/atom
# Mass density: 4.92 g/cm³
# Magnetic moment: 1.695 μB/atom
# N(E_F): 1.081 states/eV/atom

(6)
# PBE BaSrMn2Mo, relaxed
data_BaSrMn2Mo
_chemical_formula_sum 'Ba1 Sr1 Mn2 Mo1'
_symmetry_space_group_name_H-M 'P 4/m m m'
_symmetry_Int_Tables_number 123
_symmetry_space_group_name_Hall '-P 4 2'
_cell_length_a 5.029
_cell_length_b 5.029
_cell_length_c 5.636
_cell_angle_alpha 90.00
_cell_angle_beta 90.00
_cell_angle_gamma 90.00
loop_
_atom_site_label
_atom_site_type_symbol
_atom_site_fract_x
_atom_site_fract_y
_atom_site_fract_z
Ba1 Ba 0.000 0.000 0.000
Sr1 Sr 0.500 0.500 0.000
Mn1 Mn 0.000 0.500 0.500
Mo1 Mo 0.000 0.000 0.500
# Energy of formation from the pure elements: 0.92 eV per atom
# Volume: 143 Å³/cell
# Final energy: -5.635 eV/atom
# Mass density: 5.02 g/cm³
# Magnetic moment: 1.354 μB/atom
# N(E_F): 0.956 states/eV/atom

(7)
# PBE Ba2MnMoW, relaxed
data_Ba2MnMoW
_chemical_formula_sum 'Ba2 Mn1 Mo1 W1'
_symmetry_space_group_name_H-M 'P 4/m m m'
_symmetry_Int_Tables_number 123
_symmetry_space_group_name_Hall '-P 4 2'
_cell_length_a 5.915
_cell_length_b 5.915
_cell_length_c 4.435
_cell_angle_alpha 90.00
_cell_angle_beta 90.00
_cell_angle_gamma 90.00
loop_
_atom_site_label
_atom_site_type_symbol
_atom_site_fract_x
_atom_site_fract_y
_atom_site_fract_z
Ba1 Ba 0.000 0.500 0.000
Mn1 Mn 0.000 0.000 0.000
Mo1 Mo 0.000 0.000 0.500
W1 W 0.500 0.500 0.500
# Energy of formation from the pure elements: 1.85 eV per atom
# Volume: 155 Å³/cell
# Final energy: -5.507 eV/atom
# Mass density: 6.52 g/cm³
# Magnetic moment: 0.398 μB/atom
# N(E_F): 1.210 states/eV/atom

(8)
# PBE Ba2MnMoW, relaxed
data_Ba2MnMoW
_chemical_formula_sum 'Ba2 Mn1 Mo1 W1'
_symmetry_space_group_name_H-M 'P 4/m m m'
_symmetry_Int_Tables_number 123
_symmetry_space_group_name_Hall '-P 4 2'
_cell_length_a 6.310
_cell_length_b 6.310
_cell_length_c 4.696
_cell_angle_alpha 90.00
_cell_angle_beta 90.00
_cell_angle_gamma 90.00
loop_
_atom_site_label
_atom_site_type_symbol
_atom_site_fract_x
_atom_site_fract_y
_atom_site_fract_z
Ba1 Ba 0.000 0.500 0.000
Mn1 Mn 0.000 0.000 0.500
Mo1 Mo 0.500 0.500 0.500
W1 W 0.500 0.500 0.000
# Energy of formation from the pure elements: 1.52 eV per atom
# Volume: 187 Å³/cell
# Final energy: -5.844 eV/atom
# Mass density: 5.41 g/cm³
# Magnetic moment: 0.648 μB/atom
# N(E_F): 1.442 states/eV/atom

(9)
# PBE BaMnN3, relaxed
data_BaMnN3
_chemical_formula_sum 'Ba1 Mn1 N3'
_symmetry_space_group_name_H-M 'P m -3 m'
_symmetry_Int_Tables_number 221
_symmetry_space_group_name_Hall '-P 4 2 3'
_cell_length_a 3.897
_cell_length_b 3.897
_cell_length_c 3.897
_cell_angle_alpha 90.00
_cell_angle_beta 90.00
_cell_angle_gamma 90.00
loop_
_atom_site_label
_atom_site_type_symbol
_atom_site_fract_x
_atom_site_fract_y
_atom_site_fract_z
Ba1 Ba 0.000 0.000 0.000
Mn1 Mn 0.500 0.500 0.500
N1 N 0.000 0.500 0.500
# Volume: 59 Å³/cell
# Final energy: -6.924 eV/atom
# Mass density: 6.57 g/cm³
# Magnetic moment: 0.000 μB/atom
# Formation energy from raw total energies: 289 meV/atom
# N(E_F): 0.823 states/eV/atom

(10)
# PBE BaMnN3, relaxed
data_BaMnN3
_chemical_formula_sum 'Ba1 Mn1 N3'
_symmetry_space_group_name_H-M 'P m -3 m'
_symmetry_Int_Tables_number 221
_symmetry_space_group_name_Hall '-P 4 2 3'
_cell_length_a 4.498
_cell_length_b 4.498
_cell_length_c 4.498
_cell_angle_alpha 90.00
_cell_angle_beta 90.00
_cell_angle_gamma 90.00
loop_
_atom_site_label
_atom_site_type_symbol
_atom_site_fract_x
_atom_site_fract_y
_atom_site_fract_z
Ba1 Ba 0.000 0.000 0.000
Mn1 Mn 0.500 0.500 0.500
N1 N 0.000 0.000 0.500
# Volume: 91 Å³/cell
# Final energy: -4.758 eV/atom
# Mass density: 4.27 g/cm³
# Magnetic moment: 0.637 μB/atom
# Formation energy from raw total energies: 2455 meV/atom
# N(E_F): 0.705 states/eV/atom

(11)
# PBE BaMn2N3, relaxed
data_BaMn2N3
_chemical_formula_sum 'Ba4 Mn8 N12'
_symmetry_space_group_name_H-M 'C m c m'
_symmetry_Int_Tables_number 63
_symmetry_space_group_name_Hall '-C 2c 2'
_cell_length_a 7.747
_cell_length_b 10.109
_cell_length_c 4.758
_cell_angle_alpha 90.00
_cell_angle_beta 90.00
_cell_angle_gamma 90.00
loop_
_atom_site_label
_atom_site_type_symbol
_atom_site_fract_x
_atom_site_fract_y
_atom_site_fract_z
Ba1 Ba 0.000 0.189 0.250
Mn1 Mn 0.161 0.500 0.000
N1 N 0.000 0.420 0.750
N2 N 0.220 0.094 0.750
# Volume: 373 Å³/cell
# Final energy: -8.066 eV/atom
# Mass density: 5.16 g/cm³
# Magnetic moment: 0.001 μB/atom
# Formation energy from raw total energies: -527 meV/atom
# N(E_F): 0.516 states/eV/atom

(12)
# PBE Ba3MnN, relaxed
data_Ba3MnN
_chemical_formula_sum 'Ba3 Mn1 N1'
_symmetry_space_group_name_H-M 'P m -3 m'
_symmetry_Int_Tables_number 221
_symmetry_space_group_name_Hall '-P 4 2 3'
_cell_length_a 5.547
_cell_length_b 5.547
_cell_length_c 5.547
_cell_angle_alpha 90.00
_cell_angle_beta 90.00
_cell_angle_gamma 90.00
loop_
_atom_site_label
_atom_site_type_symbol
_atom_site_fract_x
_atom_site_fract_y
_atom_site_fract_z
Ba1 Ba 0.000 0.000 0.500
Mn1 Mn 0.500 0.500 0.500
N1 N 0.000 0.000 0.000
# Volume: 171 Å³/cell
# Final energy: -4.040 eV/atom
# Mass density: 4.68 g/cm³
# Magnetic moment: 0.064 μB/atom
# Formation energy from raw total energies: 613 meV/atom
# N(E_F): 2.215 states/eV/atom

(13)
# PBE Ba2MnN, relaxed
data_Ba2MnN
_chemical_formula_sum 'Ba8 Mn4 N4'
_symmetry_space_group_name_H-M 'I -4 2 d'
_symmetry_Int_Tables_number 122
_symmetry_space_group_name_Hall 'I -4 2bw'
_cell_length_a 7.949
_cell_length_b 7.949
_cell_length_c 8.666
_cell_angle_alpha 90.00
_cell_angle_beta 90.00
_cell_angle_gamma 90.00
loop_
_atom_site_label
_atom_site_type_symbol
_atom_site_fract_x
_atom_site_fract_y
_atom_site_fract_z
Ba1 Ba 0.160 0.250 0.125
Mn1 Mn 0.000 0.000 0.500
N1 N 0.000 0.000 0.000
# Volume: 548 Å³/cell
# Final energy: -4.942 eV/atom
# Mass density: 4.17 g/cm³
# Magnetic moment: 1.001 μB/atom
# Formation energy from raw total energies: 393 meV/atom
# N(E_F): 0.096 states/eV/atom

(14)
# PBE Ba3Mn2N4, relaxed
data_Ba3Mn2N4
_chemical_formula_sum 'Ba12 Mn8 N16'
_symmetry_space_group_name_H-M 'C 1 2/c 1'
_symmetry_Int_Tables_number 15
_symmetry_space_group_name_Hall '-C 2yc'
_cell_length_a 12.352
_cell_length_b 8.944
_cell_length_c 5.710
_cell_angle_alpha 90.00
_cell_angle_beta 93.25
_cell_angle_gamma 90.00
loop_
_atom_site_label
_atom_site_type_symbol
_atom_site_fract_x
_atom_site_fract_y
_atom_site_fract_z
Ba1 Ba 0.000 0.096 0.250
Ba2 Ba 0.128 0.367 0.557
Mn1 Mn 0.214 0.125 0.938
N1 N 0.143 0.302 0.035
N2 N 0.191 0.038 0.640
# Volume: 630 Å³/cell
# Final energy: -6.797 eV/atom
# Mass density: 6.10 g/cm³
# Magnetic moment: 0.209 μB/atom
# Formation energy from raw total energies: -418 meV/atom
# N(E_F): 0.496 states/eV/atom

(15)
# PBE Ba2MnN2, relaxed
data_Ba2MnN2
_chemical_formula_sum 'Ba4 Mn2 N4'
_symmetry_space_group_name_H-M 'I 4/m m m'
_symmetry_Int_Tables_number 139
_symmetry_space_group_name_Hall '-I 4 2'
_cell_length_a 4.143
_cell_length_b 4.143
_cell_length_c 13.122
_cell_angle_alpha 90.00
_cell_angle_beta 90.00
_cell_angle_gamma 90.00
loop_
_atom_site_label
_atom_site_type_symbol
_atom_site_fract_x
_atom_site_fract_y
_atom_site_fract_z
Ba1 Ba 0.000 0.000 0.142
Mn1 Mn 0.000 0.000 0.500
N1 N 0.000 0.000 0.368
# Volume: 225 Å³/cell
# Final energy: -6.331 eV/atom
# Mass density: 5.27 g/cm³
# Magnetic moment: 0.200 μB/atom
# Formation energy from raw total energies: -398 meV/atom
# N(E_F): 0.602 states/eV/atom

(16)
# PBE Ba8Mn3N8, relaxed
data_Ba8Mn3N8
_chemical_formula_sum 'Ba16 Mn6 N16'
_symmetry_space_group_name_H-M 'C 1 2/m 1'
_symmetry_Int_Tables_number 12
_symmetry_space_group_name_Hall '-C 2y'
_cell_length_a 19.910
_cell_length_b 5.695
_cell_length_c 7.965
_cell_angle_alpha 90.00
_cell_angle_beta 106.45
_cell_angle_gamma 90.00
loop_
_atom_site_label
_atom_site_type_symbol
_atom_site_fract_x
_atom_site_fract_y
_atom_site_fract_z
Ba1 Ba 0.028 0.000 0.269
Ba2 Ba 0.102 0.500 0.947
Ba3 Ba 0.167 0.500 0.469
Ba4 Ba 0.201 0.000 0.802
Mn1 Mn 0.000 0.500 0.500
Mn2 Mn 0.186 0.000 0.200
N1 N 0.021 0.500 0.304
N2 N 0.110 0.000 0.021
N3 N 0.179 0.000 0.409
N4 N 0.231 0.500 0.834
# Volume: 866 Å³/cell
# Final energy: -6.344 eV/atom
# Mass density: 5.27 g/cm³
# Magnetic moment: 0.157 μB/atom
# Formation energy from raw total energies: -582 meV/atom
# N(E_F): 0.405 states/eV/atom

(17)
# PBE Ba2MnNbN, relaxed
data_Ba2MnNbN
_chemical_formula_sum 'Ba2 Mn1 Nb1 N1'
_symmetry_space_group_name_H-M 'P 4/m m m'
_symmetry_Int_Tables_number 123
_symmetry_space_group_name_Hall '-P 4 2'
_cell_length_a 5.738
_cell_length_b 5.738
_cell_length_c 4.117
_cell_angle_alpha 90.00
_cell_angle_beta 90.00
_cell_angle_gamma 90.00
loop_
_atom_site_label
_atom_site_type_symbol
_atom_site_fract_x
_atom_site_fract_y
_atom_site_fract_z
Ba1 Ba 0.000 0.500 0.000
Mn1 Mn 0.000 0.000 0.500
Nb1 Nb 0.500 0.500 0.500
N1 N 0.500 0.500 0.000
# Volume: 136 Å³/cell
# Final energy: -5.669 eV/atom
# Mass density: 5.35 g/cm³
# Magnetic moment: 0.233 μB/atom
# Formation energy from raw total energies: 613 meV/atom
# N(E_F): 1.536 states/eV/atom

(18)
# PBE BaNd2MnN4, relaxed
data_BaNd2MnN4
_chemical_formula_sum 'Ba4 Nd8 Mn4 N16'
_symmetry_space_group_name_H-M 'C m c m'
_symmetry_Int_Tables_number 63
_symmetry_space_group_name_Hall '-C 2c 2'
_cell_length_a 3.588
_cell_length_b 12.512
_cell_length_c 12.126
_cell_angle_alpha 90.00
_cell_angle_beta 90.00
_cell_angle_gamma 90.00
loop_
_atom_site_label
_atom_site_type_symbol
_atom_site_fract_x
_atom_site_fract_y
_atom_site_fract_z
Ba1 Ba 0.000 0.093 0.250
Nd1 Nd 0.000 0.369 0.043
Mn1 Mn 0.000 0.180 0.750
N1 N 0.000 0.000 0.000
N2 N 0.000 0.259 0.626
N3 N 0.000 0.387 0.250
# Volume: 544 Å³/cell
# Final energy: -7.678 eV/atom
# Mass density: 6.55 g/cm³
# Magnetic moment: 0.342 μB/atom
# Formation energy from raw total energies: -937 meV/atom
# N(E_F): 0.166 states/eV/atom

(19)
# PBE BaNdMnN4, relaxed
data_BaNdMnN4
_chemical_formula_sum 'Ba2 Nd2 Mn2 N8'
_symmetry_space_group_name_H-M 'P 1 21/m 1'
_symmetry_Int_Tables_number 11
_symmetry_space_group_name_Hall '-P 2yb'
_cell_length_a 5.852
_cell_length_b 5.581
_cell_length_c 7.507
_cell_angle_alpha 90.00
_cell_angle_beta 106.61
_cell_angle_gamma 90.00
loop_
_atom_site_label
_atom_site_type_symbol
_atom_site_fract_x
_atom_site_fract_y
_atom_site_fract_z
Ba1 Ba 0.220 0.250 0.429
Nd1 Nd 0.269 0.250 0.950
Mn1 Mn 0.276 0.750 0.180
N1 N 0.093 0.750 0.321
N2 N 0.108 0.750 0.956
N3 N 0.461 0.508 0.219
# Volume: 235 Å³/cell
# Final energy: -7.754 eV/atom
# Mass density: 5.55 g/cm³
# Magnetic moment: 0.000 μB/atom
# Formation energy from raw total energies: -731 meV/atom

(20)
# PBE Ba2NpMn2N6, relaxed
data_Ba2NpMn2N6
_chemical_formula_sum 'Ba6 Np3 Mn6 N18'
_symmetry_space_group_name_H-M 'R -3 m'
_symmetry_Int_Tables_number 166
_symmetry_space_group_name_Hall '-R 3 2"'
_cell_length_a 5.9715
_cell_length_b 5.9715
_cell_length_c 16.7421
_cell_angle_alpha 90.00
_cell_angle_beta 90.00
_cell_angle_gamma 120.00
loop_
_atom_site_label
_atom_site_type_symbol
_atom_site_fract_x
_atom_site_fract_y
_atom_site_fract_z
Ba1 Ba 0.0000 0.0000 0.2314
Np1 Np 0.0000 0.0000 0.0000
Mn1 Mn 0.0000 0.0000 0.4359
N1 N 0.0096 0.5048 0.2578
# Volume: 517 Å³/cell
# Final energy: -8.446 eV/atom
# Mass density: 6.80 g/cm³
# Magnetic moment: 0.125 μB/atom
# Formation energy from raw total energies: -711 meV/atom
# N(E_F): 0.765 states/eV/atom